# 1
## PRh2Au (PBE)

Data for PRh2Au after structural relaxation.

Output
magnetic moment = 0.00 μB/cell
E_form = -180.3 meV per atom
space group = Immm

abc: 4.7996 4.7996 4.7996
angles: 138.53 120.05 75.51
Closest atoms and distances in Å follow each position.
Sites, in units of the cell vectors:
P  0.0000  0.0000  0.0000  4 Rh 2.25
Rh  0.1943  0.6943  0.5000  2 P 2.25
Rh  0.8057  0.3057  0.5000  2 P 2.25
Au  0.5000  0.5000  0.0000  8 Rh 2.82-2.88, 4 P 2.94

# 2
## PRh2Au (PBE)

Data for PRh2Au after structural relaxation.

Output
magnetic moment = 0.00 μB/cell
E_form = -264.8 meV per atom
space group = R-3m

abc: 8.2724 8.2724 8.2724
angles: 20.34 20.34 20.34
Closest atoms and distances in Å follow each position.
Sites, in units of the cell vectors:
P  0.0000  0.0000  0.0000  6 Rh 2.36
Rh  0.2654  0.2654  0.2654  3 P 2.36
Rh  0.7346  0.7346  0.7346  3 P 2.36
Au  0.5000  0.5000  0.5000  6 Au 2.92, 6 Rh 2.93

# 3
## P2RhAu (PBE)

Data for P2RhAu after structural relaxation.

Output
magnetic moment = 0.00 μB/cell
energy relative to the lowest polymorph listed for this composition = 0.3252 eV per atom
E_form = 186.6 meV per atom
space group = Immm

abc: 5.8195 5.8195 5.8195
angles: 151.92 132.52 56.07
Closest atoms and distances in Å follow each position.
Sites, in units of the cell vectors:
P  0.1894  0.1894  0.0000  2 Rh 2.40
P  0.8106  0.8106  0.0000  2 Rh 2.40
Rh  0.0000  0.5000  0.5000  4 P 2.40
Au  0.5000  0.0000  0.5000  4 Rh 2.74, 2 Au 2.82, 4 P 3.05

# 4
## P2RhAu (PBE)

Data for P2RhAu after structural relaxation.

Output
magnetic moment = 0.00 μB/cell
energy relative to the lowest polymorph listed for this composition = 0.3250 eV per atom
E_form = 186.4 meV per atom
space group = Imm2

abc: 5.0905 5.0905 5.0905
angles: 144.83 126.34 65.79
Closest atoms and distances in Å follow each position.
Sites, in units of the cell vectors:
P  0.0000  0.0000  0.0000  2 Rh 2.38, 2 P 2.43
P  0.7806  0.2806  0.5000  2 P 2.43
Rh  0.2132  0.7132  0.5000  2 P 2.38
Au  0.5075  0.5075  0.0000  8 P 2.77-3.01, 4 Rh 2.89-2.95, 2 Au 3.08

# 5
## P2RhAu (PBE)

Data for P2RhAu after structural relaxation.

Output
magnetic moment = 0.00 μB/cell
energy relative to the lowest polymorph listed for this composition = 0.1643 eV per atom
E_form = 25.7 meV per atom
space group = R-3m

abc: 7.0930 7.0930 7.0930
angles: 26.87 26.87 26.87
Closest atoms and distances in Å follow each position.
Sites, in units of the cell vectors:
P  0.2409  0.2409  0.2409  3 Rh 2.44, 3 Au 2.69
P  0.7591  0.7591  0.7591  3 Rh 2.44, 3 Au 2.69
Rh  0.5000  0.5000  0.5000  6 P 2.44
Au  0.0000  0.0000  0.0000  6 P 2.69

# 6
## PRhAu2 (PBE)

Data for PRhAu2 after structural relaxation.

Output
magnetic moment = 0.00 μB/cell
E_form = 273.8 meV per atom
space group = I4/mmm

abc: 5.2734 5.2734 5.2734
angles: 137.71 137.71 61.35
Closest atoms and distances in Å follow each position.
Sites, in units of the cell vectors:
P  0.0000  0.0000  0.0000  4 Rh 2.69, 8 Au 2.96
Rh  0.5000  0.5000  0.0000  4 P 2.69, 8 Au 2.96
Au  0.2500  0.7500  0.5000  4 Au 2.69, 4 Rh 2.96, 4 P 2.96
Au  0.7500  0.2500  0.5000  4 Au 2.69, 4 Rh 2.96, 4 P 2.96

# 7
## PRh2Au (PBE)

Data for PRh2Au after structural relaxation.

Output
magnetic moment = 0.00 μB/cell
E_form = 108.4 meV per atom
space group = Cmmm

abc: 4.4704 4.4704 3.0333
angles: 90.00 90.00 100.21
Closest atoms and distances in Å follow each position.
Sites, in units of the cell vectors:
P  0.0000  0.0000  0.0000  8 Rh 2.70, 2 Au 2.87
Rh  0.0000  0.5000  0.5000  4 Au 2.70, 4 P 2.70, 2 Rh 2.87
Rh  0.5000  0.0000  0.5000  4 Au 2.70, 4 P 2.70, 2 Rh 2.87
Au  0.5000  0.5000  0.0000  8 Rh 2.70, 2 P 2.87

# 8
## P2RhAuS (PBE)

Data for P2RhAuS after structural relaxation.

Output
magnetic moment = 0.00 μB/cell
energy relative to the lowest polymorph listed for this composition = 0.0000 eV per atom
space group = P4/mmm

abc: 4.4686 4.4686 4.9923
angles: 90.00 90.00 90.00
Closest atoms and distances in Å follow each position.
Sites, in units of the cell vectors:
P  0.0000  0.5000  0.0000  2 Rh 2.23
P  0.5000  0.0000  0.0000  2 Rh 2.23
Rh  0.0000  0.0000  0.0000  4 P 2.23, 2 S 2.50
Au  0.5000  0.5000  0.5000  4 S 3.16, 8 P 3.35
S  0.0000  0.0000  0.5000  2 Rh 2.50

Record order is preserved below.
Raw total energy: -24.11 -24.45 -20.70 -20.70 -21.35 -18.22 -22.96 -22.12 eV per cell